(1)
A plane-wave DFT calculation with SCAN was carried out for InPtCl4 at its PBEsol-relaxed geometry.

Cell lengths 5.6125, 5.6125, 5.6125 Å; angles 60.00, 60.00, 60.00 degrees
Fractional positions:
1 Cl 0.3741 0.3741 0.3741
2 Cl 0.3741 0.3741 0.8777
3 Cl 0.8777 0.3741 0.3741
4 Cl 0.3741 0.8777 0.3741
5 In 0.7500 0.7500 0.7500
6 Pt 0.0000 0.0000 0.0000

space group: F-43m (216)
theoretical density: 6.00 g/cm³
E_form (uncorrected): 0.838 eV per atom

(2)
A plane-wave DFT calculation with SCAN was carried out for MgNiH2 at its PBEsol-relaxed geometry.

Cell lengths 3.1066, 3.2581, 3.2581 Å; angles 90.00, 90.00, 90.00 degrees
Fractional positions:
1 Ni 0.5000 0.5000 0.5000
2 Mg 0.0000 0.0000 0.0000
3 H 0.5000 0.0000 0.5000
4 H 0.5000 0.5000 0.0000

space group: P4/mmm (123)
theoretical density: 4.28 g/cm³
total energy: -28.93 eV for the cell shown

(3)
A plane-wave DFT calculation with SCAN was carried out for LaZn2Co at its PBEsol-relaxed geometry.

Cell lengths 4.1060, 4.1060, 5.1071 Å; angles 113.70, 113.70, 90.00 degrees
Each line ends with the local moment (μB).
Fractional positions:
1 Co 0.5000 0.5000 0.0000  1.24
2 La 0.0000 0.0000 0.0000  -0.16
3 Zn 0.7500 0.2500 0.5000  -0.03
4 Zn 0.2500 0.7500 0.5000  -0.03

space group: I4/mmm (139)
theoretical density: 7.70 g/cm³
energy of formation: 0.11 eV/atom

(4)
A plane-wave DFT calculation with SCAN was carried out for Ce4Se3O4 at its PBEsol-relaxed geometry.

Cell lengths 3.8359, 6.4627, 8.5147 Å; angles 90.00, 90.00, 107.26 degrees
Each line ends with the local moment (μB).
Fractional positions:
1 Ce 0.6887 0.3774 0.7619  0.57
2 Ce 0.0100 0.0199 0.5000  0.43
3 Ce 0.9870 0.9740 0.0000  0.71
4 Ce 0.6887 0.3774 0.2381  0.57
5 Se 0.3784 0.7568 0.3140  -0.07
6 Se 0.3784 0.7568 0.6860  -0.07
7 Se 0.2861 0.5723 0.0000  -0.08
8 O 0.5804 0.1608 0.0000  -0.03
9 O 0.0905 0.1810 0.2500  -0.03
10 O 0.0905 0.1810 0.7500  -0.03
11 O 0.6235 0.2470 0.5000  -0.03

space group: Amm2 (38)
theoretical density: 7.10 g/cm³
E_form (uncorrected): -2.998 eV per atom

(5)
A plane-wave DFT calculation with SCAN was carried out for MnTeP2O at its PBEsol-relaxed geometry.

Cell lengths 3.4702, 4.6542, 4.6542 Å; angles 90.00, 90.00, 90.00 degrees
Fractional positions:
1 P 0.0000 0.0000 0.5000
2 P 0.0000 0.5000 0.0000
3 Te 0.5000 0.5000 0.5000
4 O 0.5000 0.0000 0.0000
5 Mn 0.0000 0.0000 0.0000

space group: P4/mmm (123)
theoretical density: 5.75 g/cm³
E_form (uncorrected): -0.133 eV per atom
energy relative to the lowest polymorph listed for this composition: 0.00 kcal/mol of atoms

(6)
A plane-wave DFT calculation with SCAN was carried out for K2BaSr at its PBEsol-relaxed geometry.

Cell lengths 4.2479, 4.2479, 13.6932 Å; angles 90.00, 90.00, 90.00 degrees
Fractional positions:
1 Sr 0.0000 0.0000 0.5072
2 K 0.0000 0.0000 0.9950
3 K 0.5000 0.5000 0.2608
4 Ba 0.5000 0.5000 0.7368

space group: P4mm (99)
theoretical density: 2.04 g/cm³
energy of formation: 0.06 eV/atom

Q: What is the theoretical density in the fourth record?
A: 7.10 g/cm³